A plane-wave DFT calculation with PBE was carried out for a relaxed structure of ZrSiTe.

Unit cell a=3.5354 b=3.5354 c=6.2576 alpha=90.00 beta=90.00 gamma=120.00
Last column: nearest neighbours and their distance in Å.
Space group P3m1 (No. 156)
One atom of each set of equivalent atoms:
Zr 0.0000 0.0000 0.0000 x1  3 Si 2.79, 3 Te 2.90
Si 0.6667 0.3333 0.3033 x1  3 Zr 2.79, 3 Te 3.07
Te 0.3333 0.6667 0.6705 x1  3 Zr 2.90, 3 Si 3.07

Results
- Uncorrected formation energy: -159 meV/atom
- Uncorrected energy: -5.863 eV/atom
- Calculated density: 6.05 g/cm3

=====

A plane-wave DFT calculation with PBE was carried out for a relaxed structure of ZrSiTe2.

Unit cell a=9.3260 b=3.7824 c=6.4245 alpha=90.00 beta=93.19 gamma=90.00
Last column: nearest neighbours and their distance in Å.
Space group Cm (No. 8)
One atom of each set of equivalent atoms:
Zr 0.0000 0.0000 0.0000 x2  3 Si 2.67-2.80, 2 Te 2.91
Si 0.2199 0.5000 0.0639 x2  3 Zr 2.67-2.80, 3 Te 2.71-2.83
Te 0.0132 0.5000 0.3452 x2  1 Si 2.71, 2 Zr 2.91
Te 0.2945 0.0000 0.7608 x2  2 Si 2.83, 2 Zr 3.05

Results
- Uncorrected formation energy: -301 meV/atom
- Uncorrected energy: -5.365 eV/atom
- Calculated density: 5.50 g/cm3

=====

A plane-wave DFT calculation with PBE was carried out for a relaxed structure of ZrSiTe2.

Unit cell a=3.6074 b=3.6074 c=7.1570 alpha=90.00 beta=90.00 gamma=90.00
Last column: nearest neighbours and their distance in Å.
Space group P4/mmm (No. 123)
One atom of each set of equivalent atoms:
Zr 0.0000 0.0000 0.0000 x1  8 Te 3.05
Si 0.0000 0.0000 0.5000 x1  8 Te 3.18
Te 0.5000 0.5000 0.2340 x2  4 Zr 3.05, 4 Si 3.18, 1 Te 3.35

Results
- Uncorrected formation energy: -169 meV/atom
- Uncorrected energy: -5.233 eV/atom
- Calculated density: 6.68 g/cm3